Here is crystalline SrMn2O6 at its relaxed geometry from Alexandria via LeMat-Bulk. Energies are from PBE with a Hubbard U.

Properties
Energy above the lowest structure with this stoichiometry   0 meV/atom
ρ   4.1 g/cm³
Space-group type   P-31m, No. 162

extended XYZ file:
```
9
Lattice="5.0028 0.0000 0.0000 -2.5014 4.3326 0.0000 0.0000 0.0000 5.5001" Properties=species:S:1:pos:R:3 pbc="T T T"
O 3.1058 0.0000 1.6740
O 0.9485 1.6429 1.6740
O -0.9485 1.6429 3.8261
Mn 2.5014 1.4442 2.7501
O 1.8970 0.0000 3.8261
O -1.5529 2.6897 1.6740
Mn 0.0000 2.8884 2.7501
Sr 0.0000 0.0000 0.0000
O 1.5529 2.6897 3.8261
```